(1)
# Zr2TlZn | Alexandria via LeMat-Bulk | SCAN | PBEsol geometry
data_Zr2TlZn
_chemical_formula_sum 'Zr4 Tl2 Zn2'
_space_group_name_H-M_alt 'C m m m'
_space_group_IT_number 65
_space_group_name_Hall '-C 2 2'
_cell_length_a 6.0883
_cell_length_b 8.3316
_cell_length_c 3.1253
_cell_angle_alpha 90.00
_cell_angle_beta 90.00
_cell_angle_gamma 90.00
loop_
_atom_site_label
_atom_site_fract_x
_atom_site_fract_y
_atom_site_fract_z
Zr1 0.2500 0.2500 0.0000
Tl1 0.0000 0.0000 0.5000
Zn1 0.0000 0.5000 0.5000
# - magnetic moment (μB per cell) = 0.00
# - calculated volume (Å³/cell) = 158.5
# - formation energy from the elements (kJ per mole of atoms) = -26

(2)
# Zr2TlZn | Alexandria via LeMat-Bulk | SCAN | PBEsol geometry
data_Zr2TlZn
_chemical_formula_sum 'Zr4 Tl2 Zn2'
_space_group_name_H-M_alt 'I m m 2'
_space_group_IT_number 44
_cell_length_a 3.2541
_cell_length_b 4.9908
_cell_length_c 9.8805
_cell_angle_alpha 90.00
_cell_angle_beta 90.00
_cell_angle_gamma 90.00
loop_
_space_group_symop_operation_xyz
'x,y,z'
'-x,-y,z'
'-x,y,z'
'x,-y,z'
'x+1/2,y+1/2,z+1/2'
'-x+1/2,-y+1/2,z+1/2'
'-x+1/2,y+1/2,z+1/2'
'x+1/2,-y+1/2,z+1/2'
loop_
_atom_site_label
_atom_site_fract_x
_atom_site_fract_y
_atom_site_fract_z
Zr1 0.0000 0.0000 0.0000
Zr2 0.0000 0.5000 0.2376
Tl1 0.0000 0.0000 0.4653
Zn1 0.0000 0.5000 0.7396
# - magnetic moment (μB per cell) = 0.00
# - calculated volume (Å³/cell) = 160.5
# - formation energy from the elements (kJ per mole of atoms) = -20

(3)
# Zr3Tl | Alexandria via LeMat-Bulk | SCAN | PBEsol geometry
data_Zr3Tl
_chemical_formula_sum 'Zr3 Tl1'
_space_group_name_H-M_alt 'P m m m'
_space_group_IT_number 47
_cell_length_a 3.2828
_cell_length_b 4.0226
_cell_length_c 6.6178
_cell_angle_alpha 90.00
_cell_angle_beta 90.00
_cell_angle_gamma 90.00
loop_
_space_group_symop_operation_xyz
'x,y,z'
'-x,-y,-z'
'-x,-y,z'
'x,y,-z'
'x,-y,-z'
'-x,y,z'
'-x,y,-z'
'x,-y,z'
loop_
_atom_site_label
_atom_site_fract_x
_atom_site_fract_y
_atom_site_fract_z
Zr1 0.0000 0.0000 0.0000
Zr2 0.5000 0.5000 0.2515
Tl1 0.0000 0.0000 0.5000
# - magnetic moment (μB per cell) = 0.00
# - calculated volume (Å³/cell) = 87.4
# - formation energy from the elements (kJ per mole of atoms) = -16

(4)
# Zr3Tl2 | Alexandria via LeMat-Bulk | SCAN | PBEsol geometry
data_Zr3Tl2
_chemical_formula_sum 'Zr9 Tl6'
_space_group_name_H-M_alt 'R -3 m'
_space_group_IT_number 166
_space_group_name_Hall '-R 3 2"'
_cell_length_a 3.2589
_cell_length_b 3.2589
_cell_length_c 37.2552
_cell_angle_alpha 90.00
_cell_angle_beta 90.00
_cell_angle_gamma 120.00
loop_
_atom_site_label
_atom_site_fract_x
_atom_site_fract_y
_atom_site_fract_z
Zr1 0.0000 0.0000 0.0000
Zr2 0.0000 0.0000 0.1989
Tl1 0.0000 0.0000 0.4002
# - magnetic moment (μB per cell) = 0.00
# - energy above the most stable polymorph in this dataset (eV/atom) = 0.081
# - calculated volume (Å³/cell) = 342.7
# - formation energy from the elements (kJ per mole of atoms) = -12